Entry 1:
Entry from Alexandria via LeMat-Bulk: an optimized crystal structure of KCaTc3 (GGA-PBE).

Unit cell a=4.7319 b=4.7319 c=4.7319 alpha=90.00 beta=90.00 gamma=90.00
Closest atoms and distances in Å follow each position.
Fractional positions:
Tc  0.5000  0.0000  0.0000  2 K 2.37
Tc  0.0000  0.0000  0.5000  2 K 2.37
Tc  0.0000  0.5000  0.0000  2 K 2.37
Ca  0.5000  0.5000  0.5000  12 Tc 3.35
K  0.0000  0.0000  0.0000  6 Tc 2.37

Summary:
Volume (A^3/atom): 21.19
ΔE to the lowest computed polymorph (eV per atom): 0.154
Calculated total energy (eV/atom): -4.17
Formation energy (eV/atom): 2.673
SG: Pm-3m, No. 221



Entry 2:
Entry from Alexandria via LeMat-Bulk: an optimized crystal structure of RbScBr (GGA-PBE).

Unit cell a=3.5790 b=6.6085 c=9.1576 alpha=91.65 beta=90.32 gamma=105.16
Closest atoms and distances in Å follow each position.
Fractional positions:
Br  0.8778  0.2535  0.3294  2 Sc 2.96-2.97
Br  0.1222  0.7465  0.6706  2 Sc 2.96-2.97
Rb  0.3957  0.2826  0.6746  5 Br 3.42-3.63, 2 Rb 3.58, 1 Sc 3.74
Rb  0.6043  0.7174  0.3254  5 Br 3.42-3.63, 2 Rb 3.58, 1 Sc 3.74
Sc  0.6634  0.8206  0.9254  2 Br 2.96-2.97, 2 Sc 3.18
Sc  0.3366  0.1794  0.0746  2 Br 2.96-2.97, 2 Sc 3.18

Summary:
Volume (A^3/atom): 34.82
ΔE to the lowest computed polymorph (eV per atom): 0.097
Formation energy (no corrections) (eV per atom): -0.566
Calculated total energy (eV/atom): -3.56
SG: P-1, No. 2



Entry 3:
Entry from Alexandria via LeMat-Bulk: an optimized crystal structure of CsBeNbB2 (GGA-PBE).

Unit cell a=4.5423 b=5.5404 c=4.5423 alpha=90.00 beta=90.00 gamma=90.00
Closest atoms and distances in Å follow each position.
Fractional positions:
Cs  0.0000  0.0000  0.0000  4 B 2.27
B  0.0000  0.0000  0.5000  2 Cs 2.27
B  0.5000  0.0000  0.0000  2 Cs 2.27
Nb  0.0000  0.5000  0.0000  2 Cs 2.77
Be  0.5000  0.5000  0.5000  4 Nb 3.21, 8 B 3.58

Summary:
Volume (A^3/atom): 22.86
ΔE to the lowest computed polymorph (eV per atom): 2.183
Calculated total energy (eV/atom): -2.04
Formation energy (eV/atom): 3.563
SG: P4/mmm, No. 123



Entry 4:
Entry from Alexandria via LeMat-Bulk: an optimized crystal structure of Th4Ir2OsSe (GGA-PBE).

Unit cell a=4.1215 b=7.2958 c=7.2373 alpha=108.38 beta=90.00 gamma=90.00
Closest atoms and distances in Å follow each position.
Fractional positions:
Se  0.0000  0.0000  0.0000  6 Th 3.03-3.07
Os  0.5000  0.5000  0.0000  6 Th 2.91-2.94
Ir  0.0000  0.5000  0.5000  6 Th 2.86
Ir  0.5000  0.0000  0.5000  6 Th 2.98-2.99
Th  0.0000  0.2609  0.7462  3 Ir 2.86-2.98, 2 Os 2.94, 1 Se 3.03
Th  0.0000  0.7391  0.2538  3 Ir 2.86-2.98, 2 Os 2.94, 1 Se 3.03
Th  0.5000  0.2704  0.2635  3 Ir 2.86-2.99, 1 Os 2.91, 2 Se 3.07
Th  0.5000  0.7296  0.7365  3 Ir 2.86-2.99, 1 Os 2.91, 2 Se 3.07

Summary:
Volume (A^3/atom): 25.81
Formation energy (no corrections) (eV per atom): -0.917
Calculated total energy (eV/atom): -8.68
SG: P2/m, No. 10